## CrCdPb (PBE)

Data for CrCdPb after structural relaxation.

Cell: 4.716 4.716 4.716 Å, 60.00 60.00 60.00°
Site moments in Bohr magnetons follow the coordinates.
Element x y z (fractional)
Pb 0.000 0.000 0.000  -0.09
Cd 0.500 0.500 0.500  0.00
Cr 0.250 0.250 0.250  3.56

## Properties
Final energy   -0.1575 Ha/atom
Polymorph energy (0 for the lowest one)   0.054 eV per atom
N(E_F)   0.752 states/eV per atom